VASP calculation (PBE with a Hubbard U) on Ni2GeClF after structural relaxation. Values from VASP.

Results
The calculation puts the calculated total energy at -10.80 eV/f.u. For the density, the calculation gives 4.746 g/cm3. As for the crystal system: tetragonal.

Cell and atoms, written as Quantum ESPRESSO input:
```
&SYSTEM
  ibrav = 0, nat = 5, ntyp = 4
/
ATOMIC_SPECIES
Ni 58.69 Ni.upf
Ge 72.64 Ge.upf
Cl 35.45 Cl.upf
F 19.00 F.upf
ATOMIC_POSITIONS angstrom
Ni 0.000 2.021 0.000
Ni 2.021 0.000 0.000
Ge 0.000 0.000 2.618
Cl 2.021 2.021 0.000
F 2.021 2.021 2.618
CELL_PARAMETERS angstrom
4.042 0.000 0.000
0.000 4.042 0.000
0.000 0.000 5.237
```